Here is Ba2Co9O14 after structural relaxation from Alexandria via LeMat-Bulk. Energies are from GGA+U.

abc: 10.4440 10.4440 10.4440
angles: 32.57 32.57 32.57
Closest atoms and distances in Å follow each position.
Atoms (fractional coordinates):
Ba (0.1164, 0.1164, 0.1164)  9 O 2.88-2.94
Ba (0.8836, 0.8836, 0.8836)  9 O 2.88-2.94
Co (0.0000, 0.0000, 0.0000)  6 O 2.06
Co (0.0000, 0.5000, 0.5000)  6 O 2.02-2.03
Co (0.2318, 0.2318, 0.2318)  4 O 1.91-1.97
Co (0.4144, 0.4144, 0.4144)  6 O 2.00-2.09
Co (0.5000, 0.0000, 0.5000)  6 O 2.02-2.03
Co (0.5000, 0.5000, 0.0000)  6 O 2.02-2.03
Co (0.5000, 0.5000, 0.5000)  6 O 1.98
Co (0.5856, 0.5856, 0.5856)  6 O 2.00-2.09
Co (0.7682, 0.7682, 0.7682)  4 O 1.91-1.97
O (0.1557, 0.6087, 0.6087)  3 Co 1.97-2.00
O (0.2075, 0.2075, 0.6999)  4 Co 2.03-2.09
O (0.2075, 0.6999, 0.2075)  4 Co 2.03-2.09
O (0.2963, 0.2963, 0.2963)  4 Co 1.91-2.02
O (0.3001, 0.7925, 0.7925)  4 Co 2.03-2.09
O (0.3913, 0.3913, 0.8443)  3 Co 1.97-2.00
O (0.3913, 0.8443, 0.3913)  3 Co 1.97-2.00
O (0.6087, 0.1557, 0.6087)  3 Co 1.97-2.00
O (0.6087, 0.6087, 0.1557)  3 Co 1.97-2.00
O (0.6999, 0.2075, 0.2075)  4 Co 2.03-2.09
O (0.7037, 0.7037, 0.7037)  4 Co 1.91-2.02
O (0.7925, 0.3001, 0.7925)  4 Co 2.03-2.09
O (0.7925, 0.7925, 0.3001)  4 Co 2.03-2.09
O (0.8443, 0.3913, 0.3913)  3 Co 1.97-2.00

Calculated values
symmetry	No. 166
calculated density	5.82	g/cm³
E	-0.4372	Ry/atom